Density functional theory data (GGA-PBE) for an optimized crystal structure of Ac3Pd2Rh3.

a b c (Å): 6.0236 8.4920 8.4920
angles (deg): 120.00 90.00 90.00
With the nearest neighbours (Å) after each atom.
Sites, in units of the cell vectors:
Rh 0.2500 0.0000 0.3648  5 Ac 2.81-3.06, 4 Pd 3.10
Rh 0.7500 0.6352 0.0000  5 Ac 2.81-3.06, 4 Pd 3.10
Rh 0.2500 0.6352 0.6352  5 Ac 2.81-3.06, 4 Pd 3.10
Rh 0.2500 0.3648 0.0000  5 Ac 2.81-3.06, 4 Pd 3.10
Rh 0.7500 0.0000 0.6352  5 Ac 2.81-3.06, 4 Pd 3.10
Rh 0.7500 0.3648 0.3648  5 Ac 2.81-3.06, 4 Pd 3.10
Ac 0.2500 0.6962 0.0000  5 Rh 2.81-3.06
Ac 0.2500 0.0000 0.6962  5 Rh 2.81-3.06
Ac 0.7500 0.0000 0.3038  5 Rh 2.81-3.06
Ac 0.7500 0.6962 0.6962  5 Rh 2.81-3.06
Ac 0.7500 0.3038 0.0000  5 Rh 2.81-3.06
Ac 0.2500 0.3038 0.3038  5 Rh 2.81-3.06
Pd 0.0000 0.6667 0.3333  2 Pd 3.01, 6 Rh 3.10, 6 Ac 3.32
Pd 0.5000 0.6667 0.3333  2 Pd 3.01, 6 Rh 3.10, 6 Ac 3.32
Pd 0.5000 0.3333 0.6667  2 Pd 3.01, 6 Rh 3.10, 6 Ac 3.32
Pd 0.0000 0.3333 0.6667  2 Pd 3.01, 6 Rh 3.10, 6 Ac 3.32

Summary:
Uncorrected energy, eV for the cell shown: -98.23


Density functional theory data (GGA-PBE) for an optimized crystal structure of AcPaSb2Pd2.

a b c (Å): 4.5994 4.5994 8.3201
angles (deg): 90.00 90.00 120.00
With the nearest neighbours (Å) after each atom.
Sites, in units of the cell vectors:
Ac 0.0000 0.0000 0.0000  6 Sb 3.41, 6 Pd 3.71
Sb 0.6667 0.3333 0.7437  3 Pd 2.70
Sb 0.3333 0.6667 0.2563  3 Pd 2.70
Pd 0.3333 0.6667 0.6880  3 Sb 2.70
Pd 0.6667 0.3333 0.3120  3 Sb 2.70
Pa 0.0000 0.0000 0.5000  6 Pd 3.08, 6 Sb 3.34

Summary:
Formation energy (no corrections), eV/f.u.: -5.154
Uncorrected energy, eV for the cell shown: -37.39